A geometry-optimized LiSiSCl2 structure, computed with PBE-GGA.

abc: 4.4680 4.4680 4.9747
angles: 90.00 90.00 90.00
With the nearest neighbours (Å) after each atom.
Positions (direct):
Li1 0.0000 0.0000 0.0000  4 Cl 2.23, 2 S 2.49
Si1 0.5000 0.5000 0.5000  4 S 3.16, 8 Cl 3.34
S1 0.0000 0.0000 0.5000  2 Li 2.49
Cl1 0.0000 0.5000 0.0000  2 Li 2.23
Cl2 0.5000 0.0000 0.0000  2 Li 2.23

Results
The density of states at the Fermi level is 3.34 states/eV/cell. Its space group is No. 123. The calculation puts the formation energy without anion corrections at -0.0391 eV/atom. The value obtained for the energy above the most stable polymorph in this dataset is 568.2 meV/atom.